Below is an optimized crystal structure of CaV2GaO8, with properties calculated at the GGA+U level.

```
data_CaV2GaO8
_chemical_formula_sum 'Ca1 V2 Ga1 O8'
_space_group_name_H-M_alt 'P 1'
_space_group_IT_number 1
_cell_length_a 5.832
_cell_length_b 5.832
_cell_length_c 5.832
_cell_angle_alpha 107.34
_cell_angle_beta 107.34
_cell_angle_gamma 113.83
loop_
_space_group_symop_operation_xyz
'x,y,z'
loop_
_atom_site_label
_atom_site_fract_x
_atom_site_fract_y
_atom_site_fract_z
_atom_site_occupancy
Ca1 0.000 0.000 0.000 1
V1 0.250 0.750 0.500 1
V2 0.500 0.500 0.000 1
Ga1 0.750 0.250 0.500 1
O1 0.071 0.384 0.313 1
O2 0.071 0.758 0.687 1
O3 0.131 0.338 0.793 1
O4 0.242 0.929 0.313 1
O5 0.545 0.338 0.207 1
O6 0.616 0.929 0.687 1
O7 0.662 0.455 0.793 1
O8 0.662 0.869 0.207 1
```

**SG**: I-4m2 (119)
**Total magnetization**: 1.1 μB/f.u.
**Theoretical density**: 3711 kg/m³
**Energy**: -80.77 eV per formula unit